DFT (GGA-PBE) results for La2HRu after structural relaxation.

```
data_La2HRu
_chemical_formula_sum 'La2 H1 Ru1'
_cell_length_a 3.3550
_cell_length_b 3.3550
_cell_length_c 7.2673
_cell_angle_alpha 90.00
_cell_angle_beta 90.00
_cell_angle_gamma 90.00
_space_group_name_H-M_alt 'P 4/m m m'
_space_group_IT_number 123
_space_group_name_Hall '-P 4 2'
loop_
_atom_site_label
_atom_site_fract_x
_atom_site_fract_y
_atom_site_fract_z
La1 0.0000 0.0000 0.2468
H1 0.5000 0.5000 0.0000
Ru1 0.5000 0.5000 0.5000
```

Properties
Polymorph energy (0 for the lowest one) in meV per atom: 135
DFT total energy in eV for the cell shown: -23.3